Below is PmGa5Pd2Pt after structural relaxation, with properties calculated at the PBE level.

Structure (POSCAR):
```
PmGa5Pd2Pt
1.0
4.286 0.000 0.000
0.000 4.286 0.000
0.000 0.000 10.253
Pm Ga Pd Pt
1 5 2 1
Cartesian
0.000 0.000 0.000
0.000 2.143 3.631
0.000 2.143 6.622
2.143 0.000 3.631
2.143 0.000 6.622
2.143 2.143 0.000
2.143 2.143 2.347
2.143 2.143 7.906
0.000 0.000 5.126
```

Output
DFT total energy: -4.486 eV per atom
DOS(E_F): 4.29 states/eV per cell

Below is KBa4H8 after structural relaxation, with properties calculated at the PBE level.

Structure (POSCAR):
```
KBa4H8
1.0
6.484 0.000 0.000
0.000 6.484 0.000
0.000 0.000 6.484
K Ba H
1 4 8
Cartesian
0.000 0.000 0.000
0.000 0.000 3.242
0.000 3.242 0.000
3.242 0.000 0.000
3.242 3.242 3.242
1.551 1.551 1.551
1.551 1.551 4.934
1.551 4.934 1.551
1.551 4.934 4.934
4.934 1.551 1.551
4.934 1.551 4.934
4.934 4.934 1.551
4.934 4.934 4.934
```

Output
DFT total energy: -3.085 eV per atom
DOS(E_F): 3.19 states/eV per cell

Below is Pr6HoTl4 after structural relaxation, with properties calculated at the PBE level.

Structure (POSCAR):
```
Pr6HoTl4
1.0
-3.329 3.329 8.518
3.329 -3.329 8.518
3.329 3.329 -8.518
Pr Ho Tl
6 1 4
Cartesian
3.329 0.000 0.000
1.751 -1.751 5.480
1.578 1.578 3.039
0.000 3.329 0.000
-1.751 1.751 5.480
1.751 1.751 11.557
0.000 0.000 8.518
1.722 1.722 -2.278
1.607 -1.607 10.796
1.607 1.607 6.240
-1.607 1.607 10.796
```

Output
DFT total energy: -4.057 eV per atom
DOS(E_F): 10.74 states/eV per cell

Below is MoRuPt2 after structural relaxation, with properties calculated at the PBE level.

Structure (POSCAR):
```
MoRuPt2
1.0
2.724 -4.024 0.000
2.724 4.024 0.000
0.000 0.000 2.756
Mo Ru Pt
1 1 2
Cartesian
0.000 0.000 0.000
2.724 0.000 0.000
1.362 2.012 1.378
1.362 -2.012 1.378
```

Output
DFT total energy: -8.158 eV per atom
Offset from the most stable computed form: 80 meV/atom
DOS(E_F): 5.07 states/eV per cell

Below is Ac3Mg2Al4 after structural relaxation, with properties calculated at the PBE level.

Structure (POSCAR):
```
Ac3Mg2Al4
1.0
5.939 -2.422 0.000
5.939 2.422 0.000
-2.869 0.000 8.985
Ac Mg Al
3 2 4
Cartesian
0.000 0.000 0.000
3.327 0.000 2.832
5.682 0.000 6.153
2.143 0.000 6.093
6.867 0.000 2.892
-0.274 0.000 3.752
0.572 0.000 8.500
8.438 0.000 0.485
9.284 0.000 5.233
```

Output
DFT total energy: -3.636 eV per atom
DOS(E_F): 7.44 states/eV per cell

Below is Cs3RbCu2Br6 after structural relaxation, with properties calculated at the PBE level.

Structure (POSCAR):
```
Cs3RbCu2Br6
1.0
8.382 0.000 0.000
-4.191 7.259 0.000
0.000 0.000 9.687
Cs Rb Cu Br
3 1 2 6
Cartesian
0.000 0.000 0.000
0.000 4.839 6.405
4.191 2.420 3.282
0.000 0.000 4.843
0.000 4.839 2.585
4.191 2.420 7.102
0.000 2.486 2.651
-2.038 6.016 2.651
2.153 1.243 7.036
2.038 6.016 2.651
6.229 1.243 7.036
4.191 4.773 7.036
```

Output
Formation energy without anion corrections: -1.223 eV per atom
DFT total energy: -3.037 eV per atom
DOS(E_F): 0.00 states/eV per cell

Below is P2RhCl after structural relaxation, with properties calculated at the PBE level.

Structure (POSCAR):
```
P2RhCl
1.0
4.472 0.000 0.000
0.000 3.353 0.000
-0.917 0.000 5.562
P Rh Cl
2 1 1
Cartesian
0.000 0.000 0.000
1.369 1.676 0.357
1.462 0.000 4.718
1.949 1.676 2.462
```

Output
Formation energy without anion corrections: -0.169 eV per atom
DFT total energy: -5.173 eV per atom
Offset from the most stable computed form: 0 meV/atom
DOS(E_F): 0.72 states/eV per cell

Below is LiPdBr4 after structural relaxation, with properties calculated at the PBE level.

Structure (POSCAR):
```
LiPdBr4
1.0
8.313 -1.946 0.000
8.313 1.946 0.000
-8.282 0.000 10.229
Li Pd Br
2 2 8
Cartesian
2.101 1.018 7.672
6.242 -1.018 2.557
4.156 0.973 0.000
0.015 -0.973 5.115
-0.470 1.130 6.841
6.565 0.948 0.676
5.919 0.948 4.439
4.672 1.130 8.503
3.671 -1.130 1.727
2.424 -0.948 5.791
1.778 -0.948 9.553
8.813 -1.130 3.388
```

Output
Formation energy without anion corrections: -0.655 eV per atom
DFT total energy: -2.954 eV per atom
DOS(E_F): 2.73 states/eV per cell